The following is a DFT calculation (PBE) of a relaxed LiSm2PbO6 crystal.

Electronic total energy = -132.7 eV per cell
Total magnetic moment = 0.109 μB/atom
Symmetry = No. 14
ΔE_f (raw) = -2.15 eV/atom

Lattice parameters (Å, degrees): 5.627 5.807 8.508 90.00 85.54 90.00
Site moments in Bohr magnetons follow the coordinates.
Fractional positions:
Li  0.500  0.000  0.000  0.00
Li  0.000  0.500  0.500  0.00
Sm  0.038  0.934  0.261  -0.01
Sm  0.538  0.566  0.761  -0.01
Sm  0.962  0.066  0.739  -0.01
Sm  0.462  0.434  0.239  -0.01
Pb  0.500  0.000  0.500  -0.01
Pb  0.000  0.500  0.000  -0.01
O  0.303  0.703  0.064  0.13
O  0.803  0.797  0.564  0.13
O  0.697  0.297  0.936  0.13
O  0.197  0.203  0.436  0.13
O  0.295  0.705  0.413  0.16
O  0.795  0.795  0.913  0.16
O  0.705  0.295  0.587  0.16
O  0.205  0.205  0.087  0.16
O  0.853  0.567  0.240  0.18
O  0.353  0.933  0.740  0.18
O  0.147  0.433  0.760  0.18
O  0.647  0.067  0.260  0.18

The following is a DFT calculation (PBE) of a relaxed SbPtAu4 crystal.

Electronic total energy = -21.9 eV per cell
Total magnetic moment = 0.000 μB/atom
Symmetry = No. 216
ΔE_f (raw) = 0.23 eV/atom

Lattice parameters (Å, degrees): 5.511 5.511 5.511 60.00 60.00 60.00
Fractional positions:
Sb  0.000  0.000  0.000
Pt  0.750  0.750  0.750
Au  0.874  0.375  0.375
Au  0.375  0.375  0.874
Au  0.375  0.874  0.375
Au  0.375  0.375  0.375

The following is a DFT calculation (PBE) of a relaxed TbNdCrN4 crystal.

Electronic total energy = -120.0 eV per cell
Total magnetic moment = 0.000 μB/atom
Symmetry = No. 11
ΔE_f (raw) = -1.10 eV/atom

Lattice parameters (Å, degrees): 5.592 5.498 6.839 90.00 108.18 90.00
Fractional positions:
Tb  0.795  0.750  0.462
Tb  0.205  0.250  0.538
Nd  0.723  0.750  0.934
Nd  0.277  0.250  0.066
Cr  0.241  0.750  0.307
Cr  0.759  0.250  0.693
N  0.968  0.495  0.749
N  0.032  0.995  0.251
N  0.032  0.505  0.251
N  0.968  0.005  0.749
N  0.441  0.750  0.154
N  0.559  0.250  0.846
N  0.414  0.750  0.562
N  0.586  0.250  0.438

The following is a DFT calculation (PBE) of a relaxed TbCeNdCd crystal.

Electronic total energy = -16.0 eV per cell
Total magnetic moment = 0.379 μB/atom
Symmetry = No. 216
E_form = 0.06 eV per atom

Lattice parameters (Å, degrees): 5.456 5.456 5.456 60.00 60.00 60.00
Site moments in Bohr magnetons follow the coordinates.
Fractional positions:
Nd  0.000  0.000  0.000  0.12
Tb  0.500  0.500  0.500  0.19
Ce  0.250  0.250  0.250  0.76
Cd  0.750  0.750  0.750  0.00

The following is a DFT calculation (PBE) of a relaxed TaTi5C6 crystal.

Electronic total energy = -116.4 eV per cell
Total magnetic moment = 0.000 μB/atom
Symmetry = No. 12
E_form = -0.81 eV per atom

Lattice parameters (Å, degrees): 5.344 5.348 5.344 59.98 80.39 70.50
Fractional positions:
C  0.748  0.084  0.335
C  0.252  0.581  0.335
C  0.251  0.252  0.000
C  0.749  0.748  0.000
C  0.748  0.419  0.665
C  0.252  0.916  0.665
Ti  0.500  0.168  0.665
Ti  0.000  0.334  0.333
Ti  0.500  0.500  0.000
Ti  0.000  0.666  0.667
Ti  0.500  0.832  0.335
Ta  0.000  0.000  0.000